1.
A plane-wave DFT calculation with PBE was carried out for a geometry-optimized CeNd3Tm8 structure.

ΔH_f (0 K): 0.615 eV per atom

abc: 8.3120 8.3120 8.3120
angles: 117.16 117.16 95.00
Closest atoms and distances in Å follow each position.
Atoms (fractional coordinates):
Ce (0.0000, 0.0000, 0.0000)  8 Tm 2.86-3.04
Nd (0.2500, 0.7500, 0.5000)  4 Tm 3.43
Nd (0.5000, 0.5000, 0.0000)  8 Tm 3.31-3.35
Nd (0.7500, 0.2500, 0.5000)  4 Tm 3.43
Tm (0.1093, 0.1093, 0.7504)  1 Ce 3.04, 3 Tm 3.06-3.27, 1 Nd 3.35
Tm (0.1988, 0.1988, 0.4626)  1 Ce 2.86, 1 Tm 3.16
Tm (0.2638, 0.8012, 0.0000)  1 Ce 2.86, 1 Tm 3.16
Tm (0.3590, 0.3590, 0.2496)  1 Ce 3.04, 3 Tm 3.06-3.27, 1 Nd 3.35
Tm (0.6410, 0.8907, 0.0000)  1 Ce 3.04, 3 Tm 3.06-3.27, 1 Nd 3.35
Tm (0.7362, 0.7362, 0.5374)  1 Ce 2.86, 1 Tm 3.16
Tm (0.8012, 0.2638, 0.0000)  1 Ce 2.86, 1 Tm 3.16
Tm (0.8907, 0.6410, 0.0000)  1 Ce 3.04, 3 Tm 3.06-3.27, 1 Nd 3.35

***

2.
A plane-wave DFT calculation with PBE was carried out for a geometry-optimized HfN2Cl structure.

E_form (uncorrected): -302.6 meV/atom

abc: 6.3219 6.3219 6.3219
angles: 30.69 30.69 30.69
Closest atoms and distances in Å follow each position.
Atoms (fractional coordinates):
Hf (0.0000, 0.0000, 0.0000)  6 N 2.20
N (0.3913, 0.3913, 0.3913)  1 Cl 1.96, 3 Hf 2.20
N (0.6087, 0.6087, 0.6087)  1 Cl 1.96, 3 Hf 2.20
Cl (0.5000, 0.5000, 0.5000)  2 N 1.96

***

3.
A plane-wave DFT calculation with PBE was carried out for a geometry-optimized Ac3Bi2H2 structure.

VASP energy: -0.1621 hartree per atom

abc: 6.8027 6.8027 6.6588
angles: 98.58 98.58 43.41
Closest atoms and distances in Å follow each position.
Atoms (fractional coordinates):
Ac (0.0000, 0.0000, 0.0000)  2 H 2.69
Ac (0.2884, 0.2884, 0.7143)  3 H 2.64-2.84
Ac (0.7116, 0.7116, 0.2857)  3 H 2.64-2.84
Bi (0.4007, 0.4007, 0.2485)  1 H 3.24, 6 Ac 3.36-3.61
Bi (0.5993, 0.5993, 0.7515)  1 H 3.24, 6 Ac 3.36-3.61
H (0.1548, 0.1548, 0.3281)  4 Ac 2.64-2.84
H (0.8452, 0.8452, 0.6719)  4 Ac 2.64-2.84

***

4.
A plane-wave DFT calculation with PBE was carried out for a geometry-optimized BaTeMoN2 structure.

E_form (uncorrected): 154.9 meV/atom

abc: 4.2989 4.2989 5.4720
angles: 90.00 90.00 90.00
Closest atoms and distances in Å follow each position.
Atoms (fractional coordinates):
Ba (0.0000, 0.0000, 0.0000)  4 Te 3.04
Te (0.5000, 0.5000, 0.0000)  2 Mo 2.74, 4 Ba 3.04
Mo (0.5000, 0.5000, 0.5000)  4 N 2.15
N (0.0000, 0.5000, 0.5000)  2 Mo 2.15
N (0.5000, 0.0000, 0.5000)  2 Mo 2.15

***

In the order shown, the computed N(E_F) values come out to 18.07, 3.47, 2.92, 1.61 states/eV/f.u..
In the order shown, the computed total moment values come out to 0.00, 0.00, 0.00, 0.00 Bohr magnetons per cell.